A relaxed structure of Ba2MgRe, computed with PBE.

Calculated values
- formation energy from the elements (meV/atom) = 841

The structure in POSCAR format:
```
Ba2MgRe
1.0
11.621 0.000 0.000
0.000 11.621 0.000
5.811 5.811 2.650
Ba Re Mg
4 2 2
Direct
0.875 0.094 0.750
0.375 0.156 0.750
0.906 0.625 0.250
0.844 0.125 0.250
0.000 0.000 0.000
0.750 0.250 0.500
0.250 0.750 0.500
0.500 0.500 0.000
```